A geometry-optimized ScCdBr structure, computed with GGA-PBE.

offset from the most stable computed form: 0 meV/atom
ρ: 4.8 g cm⁻³
crystal system: trigonal

Lattice parameters (Å, degrees): 3.5417 3.5417 7.5771 90.00 90.00 120.00
Space group P3m1 (No. 156)
One atom of each set of equivalent atoms:
Sc 0.0000 0.0000 0.0000 [1 per cell]
Cd 0.6667 0.3333 0.7111 [1 per cell]
Br 0.3333 0.6667 0.2388 [1 per cell]



A geometry-optimized Sc2CdBr structure, computed with GGA-PBE.

offset from the most stable computed form: 171 meV/atom
ρ: 5.2 g cm⁻³
crystal system: monoclinic

Lattice parameters (Å, degrees): 7.281 7.650 3.287 90.00 97.93 90.00
Space group C2/m (No. 12)
One atom of each set of equivalent atoms:
Sc 0.250 0.250 0.000 [4 per cell]
Cd 0.000 0.000 0.500 [2 per cell]
Br 0.000 0.500 0.500 [2 per cell]



Taking the records one at a time from the top gives formation energy from raw total energies values of -0.66; -0.33 eV/atom.